No. 1
VASP calculation (GGA-PBE) on crystalline Sr2AlPdO4 at its relaxed geometry.

Total energy, eV/atom: -6.1876
ΔE_f (raw), eV/atom: -2.171
Symmetry: No. 82

Unit cell a=5.397 b=5.397 c=5.397 alpha=107.13 beta=110.65 gamma=110.65
Site moments in Bohr magnetons follow the coordinates.
Element x y z (fractional)
1 Sr 0.500 0.750 0.250  0.01
2 Sr 0.000 0.000 0.000  0.00
3 Al 0.000 0.500 0.500  0.01
4 Pd 0.500 0.250 0.750  0.68
5 O 0.669 0.493 0.514  0.06
6 O 0.020 0.176 0.507  0.06
7 O 0.980 0.486 0.156  0.06
8 O 0.331 0.844 0.824  0.06

=====

No. 2
VASP calculation (GGA-PBE) on crystalline Pm2AlO4 at its relaxed geometry.

DOS(E_F), states/eV per cell: 2.0
Total energy, eV/atom: -7.6226
ΔE_f (raw), eV/atom: -2.897
Symmetry: No. 11

Unit cell a=5.501 b=5.948 c=6.781 alpha=90.00 beta=111.17 gamma=90.00
Element x y z (fractional)
1 Pm 0.610 0.750 0.015
2 Pm 0.390 0.250 0.985
3 Pm 0.241 0.250 0.431
4 Pm 0.759 0.750 0.569
5 Al 0.202 0.750 0.198
6 Al 0.798 0.250 0.802
7 O 0.440 0.525 0.275
8 O 0.038 0.750 0.923
9 O 0.962 0.250 0.077
10 O 0.440 0.975 0.275
11 O 0.012 0.250 0.662
12 O 0.560 0.025 0.725
13 O 0.560 0.475 0.725
14 O 0.988 0.750 0.338

=====

No. 3
VASP calculation (GGA-PBE) on crystalline PmAl4O7 at its relaxed geometry.

DOS(E_F), states/eV per cell: 2.0
Total energy, eV/atom: -7.3816
ΔE_f (raw), eV/atom: -2.846
Symmetry: No. 31

Unit cell a=4.962 b=5.369 c=13.165 alpha=90.00 beta=90.00 gamma=90.00
Site moments in Bohr magnetons follow the coordinates.
Element x y z (fractional)
1 Pm 0.802 0.837 0.500  0.08
2 Pm 0.302 0.163 0.000  0.08
3 Al 0.580 0.671 0.878  0.00
4 Al 0.063 0.828 0.249  0.00
5 Al 0.563 0.172 0.251  0.00
6 Al 0.080 0.329 0.622  0.00
7 Al 0.080 0.329 0.378  0.00
8 Al 0.580 0.671 0.122  0.00
9 Al 0.063 0.828 0.751  0.00
10 Al 0.563 0.172 0.749  0.00
11 O 0.918 0.729 0.138  0.00
12 O 0.418 0.271 0.362  0.00
13 O 0.479 0.357 0.858  0.00
14 O 0.979 0.643 0.642  0.00
15 O 0.979 0.643 0.358  0.00
16 O 0.479 0.357 0.142  0.00
17 O 0.410 0.878 0.788  0.00
18 O 0.910 0.122 0.712  0.00
19 O 0.910 0.122 0.288  0.00
20 O 0.410 0.878 0.212  0.00
21 O 0.452 0.754 0.000  0.00
22 O 0.952 0.246 0.500  0.00
23 O 0.918 0.729 0.862  0.00
24 O 0.418 0.271 0.638  0.00

=====

No. 4
VASP calculation (GGA-PBE) on crystalline Pm3AlO at its relaxed geometry.

DOS(E_F), states/eV per cell: 1.4
Total energy, eV/atom: -5.9295
ΔE_f (raw), eV/atom: -1.339
Symmetry: No. 221

Unit cell a=4.888 b=4.888 c=4.888 alpha=90.00 beta=90.00 gamma=90.00
Element x y z (fractional)
1 Al 0.500 0.500 0.500
2 O 0.000 0.000 0.000
3 Pm 0.000 0.500 0.000
4 Pm 0.000 0.000 0.500
5 Pm 0.500 0.000 0.000

=====

No. 5
VASP calculation (GGA-PBE) on crystalline PmAlO3 at its relaxed geometry.

DOS(E_F), states/eV per cell: 0.0
Total energy, eV/atom: -7.9046
ΔE_f (raw), eV/atom: -3.231
Symmetry: No. 221

Unit cell a=3.758 b=3.758 c=3.758 alpha=90.00 beta=90.00 gamma=90.00
Element x y z (fractional)
1 Al 0.000 0.000 0.000
2 O 0.000 0.500 0.000
3 O 0.000 0.000 0.500
4 O 0.500 0.000 0.000
5 Pm 0.500 0.500 0.500

=====

No. 6
VASP calculation (GGA-PBE) on crystalline Pm4AlO at its relaxed geometry.

DOS(E_F), states/eV per cell: 5.7
Total energy, eV/atom: -5.0946
ΔE_f (raw), eV/atom: -0.477
Symmetry: No. 123

Unit cell a=4.798 b=4.798 c=6.718 alpha=90.00 beta=90.00 gamma=90.00
Element x y z (fractional)
1 Pm 0.500 0.000 0.732
2 Pm 0.000 0.500 0.732
3 Pm 0.500 0.000 0.268
4 Pm 0.000 0.500 0.268
5 Al 0.000 0.000 0.000
6 O 0.500 0.500 0.500